Entry from Alexandria: a relaxed Tb8SmY5 crystal (PBE).

Lattice parameters (Å, degrees): 8.475 8.475 8.475 111.38 105.72 111.38
Fractional coordinates of all 14 atoms:
Tb 0.530 0.605 0.275
Tb 0.670 0.395 0.926
Tb 0.074 0.744 0.470
Y 0.282 0.095 0.961
Y 0.039 0.321 0.134
Tb 0.342 0.264 0.427
Tb 0.163 0.736 0.078
Sm 0.250 0.500 0.750
Tb 0.725 0.256 0.330
Y 0.813 0.679 0.718
Tb 0.922 0.084 0.658
Tb 0.573 0.916 0.837
Y 0.500 0.000 0.500
Y 0.866 0.905 0.187

Magnetic moment ... 0.00 μB/f.u.
Formation energy from the elements ... 3.58 eV/f.u.
Raw total energy ... -5.04 eV per atom